Below is a relaxed Co2AgI crystal, with properties calculated at the GGA-PBE level.

Cell lengths 4.5010, 4.5010, 4.5010 Å; angles 60.00, 60.00, 60.00 degrees
Last column: nearest neighbours and their distance in Å.
Fractional coordinates of all 4 atoms:
I 0.5000 0.5000 0.5000  8 Co 2.76
Co 0.2500 0.2500 0.2500  4 I 2.76, 4 Ag 2.76
Co 0.7500 0.7500 0.7500  4 I 2.76, 4 Ag 2.76
Ag 0.0000 0.0000 0.0000  8 Co 2.76

volume	16.1	Å³ per atom
formation energy (no corrections)	317	kJ/mol of formula units
size of the total moment	0.646	μB per atom
energy	-15.33	eV/cell